KMg2Sn, relaxed, DFT PBE-GGA; calculated formation energy = 3.53 kcal/mol of atoms; total DFT energy (no corrections) = -15.36 eV per cell; space group = No. 141
1.0
-2.964 2.964 9.696
2.964 -2.964 9.696
2.964 2.964 -9.696
K Mg Sn
2 4 2
Direct
0.375 0.625 0.750
0.625 0.375 0.250
0.000 0.000 0.000
0.000 0.000 0.500
0.000 0.500 0.000
0.500 0.000 0.500
0.125 0.875 0.250
0.875 0.125 0.750


Rb2CdPb4Au3, relaxed, DFT PBE-GGA; calculated formation energy = -3.55 kcal/mol of atoms; total DFT energy (no corrections) = -29.05 eV per cell; space group = No. 115
1.0
5.129 0.000 0.000
0.000 5.129 0.000
0.000 0.000 11.849
Rb Cd Pb Au
2 1 4 3
Direct
0.000 0.500 0.245
0.500 0.000 0.755
0.500 0.500 0.000
0.000 0.000 0.500
0.000 0.500 0.871
0.500 0.000 0.129
0.500 0.500 0.500
0.000 0.000 0.000
0.000 0.500 0.627
0.500 0.000 0.373


Tb6Si2Bi, relaxed, DFT PBE-GGA; total DFT energy (no corrections) = -95.35 eV per cell; formation energy from raw total energies = -0.574 eV per atom; space group = No. 71
1.0
-4.764 4.835 5.248
4.764 -4.835 5.248
4.764 4.835 -5.248
Tb Si Bi
12 4 2
Direct
0.031 0.242 0.789
0.188 0.279 0.467
0.188 0.721 0.909
0.319 0.021 0.701
0.319 0.618 0.299
0.454 0.242 0.211
0.546 0.758 0.789
0.681 0.382 0.701
0.681 0.979 0.299
0.812 0.279 0.091
0.812 0.721 0.533
0.969 0.758 0.211
0.114 0.614 0.500
0.372 0.000 0.372
0.628 0.000 0.628
0.886 0.386 0.500
0.000 0.000 0.000
0.500 0.500 0.000


Tb, relaxed, DFT PBE-GGA; calculated formation energy = 10.38 kcal/mol of atoms; total DFT energy (no corrections) = -8.36 eV per cell; space group = No. 141
1.0
-3.088 3.088 1.688
3.088 -3.088 1.688
3.088 3.088 -1.688
Tb
2
Direct
0.375 0.625 0.750
0.625 0.375 0.250


PmEuHgIr, relaxed, DFT PBE-GGA; calculated formation energy = -10.00 kcal/mol of atoms; total DFT energy (no corrections) = -25.92 eV per cell; space group = No. 216
1.0
0.000 3.656 3.656
3.656 0.000 3.656
3.656 3.656 0.000
Pm Eu Hg Ir
1 1 1 1
Direct
0.000 0.000 0.000
0.500 0.500 0.500
0.250 0.250 0.250
0.750 0.750 0.750


Ag3Bi, relaxed, DFT PBE-GGA; calculated formation energy = 2.23 kcal/mol of atoms; total DFT energy (no corrections) = -12.05 eV per cell; space group = No. 44
1.0
-1.731 4.904 2.520
1.731 -4.904 2.520
1.731 4.904 -2.520
Ag Bi
3 1
Direct
0.000 0.000 0.000
0.345 0.605 0.740
0.865 0.605 0.260
0.508 0.008 0.500


Ba3UAg2Se6, relaxed, DFT PBE-GGA; total DFT energy (no corrections) = -57.37 eV per cell; formation energy from raw total energies = -1.142 eV per atom; space group = No. 164
1.0
7.658 0.000 0.000
-3.829 6.632 0.000
0.000 0.000 8.174
Ba U Ag Se
3 1 2 6
Direct
0.000 0.000 0.000
0.333 0.667 0.608
0.667 0.333 0.392
0.000 0.000 0.500
0.333 0.667 0.120
0.667 0.333 0.880
0.166 0.333 0.299
0.166 0.834 0.299
0.333 0.166 0.701
0.667 0.834 0.299
0.834 0.166 0.701
0.834 0.667 0.701


CeGa8Co2, relaxed, DFT PBE-GGA; calculated formation energy = 0.81 kcal/mol of atoms; total DFT energy (no corrections) = -43.97 eV per cell; space group = No. 123
1.0
5.638 0.000 0.000
0.000 5.638 0.000
0.000 0.000 7.595
Ce Ga Co
1 8 2
Direct
0.000 0.000 0.000
0.253 0.253 0.315
0.253 0.253 0.685
0.253 0.747 0.315
0.253 0.747 0.685
0.747 0.253 0.315
0.747 0.253 0.685
0.747 0.747 0.315
0.747 0.747 0.685
0.000 0.500 0.500
0.500 0.000 0.500


no.,magnetization (Bohr magnetons per cell)
1,0.00
2,0.00
3,0.00
4,0.00
5,6.95
6,0.00
7,1.82
8,1.27